First-principles (PBE-GGA) data for a relaxed PrYAsP crystal, as listed in Alexandria.

Unit cell a=4.1770 b=4.1770 c=5.8796 alpha=90.00 beta=90.00 gamma=90.00
Fractional positions:
Pr (0.0000, 0.0000, 0.0000)
Y (0.5000, 0.5000, 0.5000)
As (0.5000, 0.5000, 0.0000)
P (0.0000, 0.0000, 0.5000)

Properties
- volume (Å³/atom) = 25.6
- uncorrected energy (eV/atom) = -6.8362
- ΔE_f (eV per atom) = -1.510

First-principles (PBE-GGA) data for a relaxed LaMg2Sc crystal, as listed in Alexandria.

Unit cell a=5.7668 b=5.7668 c=5.7668 alpha=130.11 beta=130.11 gamma=73.23
Fractional positions:
La (0.0000, 0.0000, 0.0000)
Mg (0.2500, 0.7500, 0.5000)
Mg (0.5000, 0.5000, 0.0000)
Sc (0.7500, 0.2500, 0.5000)

Properties
- volume (Å³/atom) = 27.4
- uncorrected energy (eV/atom) = -3.5375
- ΔE_f (eV per atom) = 0.075